Below is ZrSc2Cd at its PBEsol-relaxed geometry, with properties calculated at the SCAN level.

a = 3.228 Å, b = 3.228 Å, c = 8.359 Å
α = 90.00°, β = 90.00°, γ = 90.00°
Space group P4/mmm (No. 123)
Asymmetric unit:
Zr 0.000 0.000 0.000 x1
Sc 0.500 0.500 0.257 x2
Cd 0.000 0.000 0.500 x1

Values from the calculation:
Its formation energy is -211 meV/atom. The value obtained for the excess energy over the best structure of this formula in the dataset is 0 meV per atom. For the density of states at the Fermi level, the calculation gives 0.9028 states/eV per atom.

---

Below is LaZn2Ru2 at its PBEsol-relaxed geometry, with properties calculated at the SCAN level.

a = 4.282 Å, b = 4.282 Å, c = 9.940 Å
α = 90.00°, β = 90.00°, γ = 90.00°
Space group I4/mmm (No. 139)
Asymmetric unit:
La 0.000 0.000 0.000 x2
Zn 0.000 0.500 0.250 x4
Ru 0.000 0.000 0.385 x4

Values from the calculation:
Its formation energy is -159 meV/atom. For the density of states at the Fermi level, the calculation gives 1.1529 states/eV per atom.

---

Below is InOsCl2 at its PBEsol-relaxed geometry, with properties calculated at the SCAN level.

a = 6.746 Å, b = 6.746 Å, c = 6.746 Å
α = 90.00°, β = 90.00°, γ = 90.00°
Space group Fm-3m (No. 225)
Asymmetric unit:
In 0.000 0.000 0.000 x4
Os 0.000 0.000 0.500 x4
Cl 0.250 0.250 0.250 x8

Values from the calculation:
The value obtained for the excess energy over the best structure of this formula in the dataset is 891 meV per atom. For the density of states at the Fermi level, the calculation gives 0.1857 states/eV per atom. Its formation energy from raw total energies is 3.52 eV per formula unit.

---

Below is NaSnN2O at its PBEsol-relaxed geometry, with properties calculated at the SCAN level.

a = 4.236 Å, b = 4.236 Å, c = 4.119 Å
α = 90.00°, β = 90.00°, γ = 90.00°
Space group P4/mmm (No. 123)
Asymmetric unit:
Na 0.000 0.000 0.000 x1
Sn 0.500 0.500 0.500 x1
N 0.000 0.500 0.000 x2
O 0.000 0.000 0.500 x1

Values from the calculation:
For the density of states at the Fermi level, the calculation gives 0.1970 states/eV per atom. Its formation energy from raw total energies is 6.78 eV per formula unit.

---

Below is ScCd2Cu at its PBEsol-relaxed geometry, with properties calculated at the SCAN level.

a = 3.1348 Å, b = 3.1348 Å, c = 26.8829 Å
α = 90.00°, β = 90.00°, γ = 120.00°
Space group R-3m (No. 166, hexagonal axes)
Asymmetric unit:
Sc 0.0000 0.0000 0.0000 x3
Cd 0.0000 0.0000 0.2414 x6
Cu 0.0000 0.0000 0.5000 x3

Values from the calculation:
Its formation energy is 40 meV/atom. For the density of states at the Fermi level, the calculation gives 0.6466 states/eV per atom.

---

Below is Ni3SnI at its PBEsol-relaxed geometry, with properties calculated at the SCAN level.

a = 4.613 Å, b = 4.613 Å, c = 4.613 Å
α = 90.00°, β = 90.00°, γ = 90.00°
Space group Pm-3m (No. 221)
Asymmetric unit:
Ni 0.000 0.000 0.500 x3
Sn 0.500 0.500 0.500 x1
I 0.000 0.000 0.000 x1

Values from the calculation:
For the density of states at the Fermi level, the calculation gives 0.4998 states/eV per atom. Its formation energy from raw total energies is 5.03 eV per formula unit.

---

Below is InS2Br at its PBEsol-relaxed geometry, with properties calculated at the SCAN level.

a = 3.9110 Å, b = 3.9110 Å, c = 22.6674 Å
α = 90.00°, β = 90.00°, γ = 120.00°
Space group R-3m (No. 166, hexagonal axes)
Asymmetric unit:
In 0.0000 0.0000 0.0000 x3
S 0.0000 0.0000 0.3925 x6
Br 0.0000 0.0000 0.5000 x3

Values from the calculation:
The value obtained for the excess energy over the best structure of this formula in the dataset is 0 meV per atom. Its formation energy from raw total energies is -1.49 eV per formula unit.

---

Below is La3Mg at its PBEsol-relaxed geometry, with properties calculated at the SCAN level.

a = 3.5748 Å, b = 3.5748 Å, c = 34.5655 Å
α = 90.00°, β = 90.00°, γ = 120.00°
Space group R-3m (No. 166, hexagonal axes)
Asymmetric unit:
La 0.0000 0.0000 0.0000 x3
La 0.0000 0.0000 0.2480 x6
Mg 0.0000 0.0000 0.5000 x3

Values from the calculation:
Its formation energy is 15 meV/atom. For the density of states at the Fermi level, the calculation gives 1.3036 states/eV per atom.

---

Below is LaHfCr3 at its PBEsol-relaxed geometry, with properties calculated at the SCAN level.

a = 4.799 Å, b = 4.799 Å, c = 4.799 Å
α = 90.00°, β = 90.00°, γ = 90.00°
Space group Pm-3m (No. 221)
Asymmetric unit:
La 0.000 0.000 0.000 x1
Hf 0.500 0.500 0.500 x1
Cr 0.000 0.500 0.500 x3

Values from the calculation:
Its formation energy is 920 meV/atom. For the density of states at the Fermi level, the calculation gives 0.6925 states/eV per atom.

---

Below is SrNiTe2 at its PBEsol-relaxed geometry, with properties calculated at the SCAN level.

a = 5.141 Å, b = 5.141 Å, c = 7.550 Å
α = 90.00°, β = 90.00°, γ = 90.00°
Space group I4/mmm (No. 139)
Asymmetric unit:
Sr 0.000 0.000 0.000 x2
Ni 0.000 0.000 0.500 x2
Te 0.000 0.500 0.250 x4

Values from the calculation:
For the density of states at the Fermi level, the calculation gives 0.9578 states/eV per atom. Its formation energy from raw total energies is -0.87 eV per formula unit.

---

Below is TaMo at its PBEsol-relaxed geometry, with properties calculated at the SCAN level.

a = 3.182 Å, b = 3.182 Å, c = 9.669 Å
α = 90.00°, β = 90.00°, γ = 90.00°
Space group P4mm (No. 99)
Asymmetric unit:
Ta 0.000 0.000 0.000 x1
Ta 0.000 0.000 0.327 x1
Ta 0.500 0.500 0.506 x1
Mo 0.000 0.000 0.674 x1
Mo 0.500 0.500 0.164 x1
Mo 0.500 0.500 0.829 x1

Values from the calculation:
Its formation energy is -174 meV/atom. For the density of states at the Fermi level, the calculation gives 0.7456 states/eV per atom.

---

Below is Rb2AgBr3 at its PBEsol-relaxed geometry, with properties calculated at the SCAN level.

a = 9.524 Å, b = 4.582 Å, c = 18.481 Å
α = 90.00°, β = 90.00°, γ = 90.00°
Space group Pnma (No. 62)
Asymmetric unit:
Rb 0.078 0.250 0.213 x4
Rb 0.250 0.250 0.958 x4
Ag 0.133 0.250 0.634 x4
Br 0.002 0.750 0.600 x4
Br 0.117 0.750 0.072 x4
Br 0.187 0.250 0.776 x4

Values from the calculation:
For the density of states at the Fermi level, the calculation gives 0.0000 states/eV per atom. Its formation energy from raw total energies is -8.69 eV per formula unit.

---

| no. | total magnetic moment (μB/f.u.) |
| --- | --- |
| 1 | 0.01 |
| 2 | 0.00 |
| 3 | 3.12 |
| 4 | 5.00 |
| 5 | 0.00 |
| 6 | 0.00 |
| 7 | 0.00 |
| 8 | 0.00 |
| 9 | 9.10 |
| 10 | 1.66 |
| 11 | 0.00 |
| 12 | 0.00 |